# Cr2Te5Pd | Alexandria via LeMat-Bulk | PBE-GGA | optimized geometry
data_Cr2Te5Pd
_space_group_name_H-M_alt 'F m m m'
_space_group_IT_number 69
_space_group_name_Hall '-F 2 2'
_cell_length_a 5.324
_cell_length_b 11.375
_cell_length_c 14.117
_cell_angle_alpha 90.00
_cell_angle_beta 90.00
_cell_angle_gamma 90.00
loop_
_atom_site_label
_atom_site_type_symbol
_atom_site_fract_x
_atom_site_fract_y
_atom_site_fract_z
Cr1 Cr 0.000 0.000 0.194
Te1 Te 0.000 0.000 0.000
Te2 Te 0.000 0.145 0.346
Pd1 Pd 0.000 0.000 0.500
# E_form (uncorrected) = 0.05 eV/atom
# Spin magnetization = 5.95 μB per formula unit
# DOS at the Fermi energy = 25.28 states/eV/cell
# V = 26.717 Å³ per atom